Entry from Alexandria: a relaxed AgTeIr2 crystal (PBEsol).

Results
The total DFT energy (no corrections) comes out at -6.17 eV/atom. As for the total magnetic moment: 0.00 μB per formula unit. The formation energy (no corrections) comes out at 0.452 eV/atom.

Unit cell a=2.903 b=2.903 c=8.317 alpha=90.00 beta=90.00 gamma=90.00
Space group P4mm (No. 99)
Asymmetric unit:
1 Ag 0.000 0.000 0.000 [1 per cell]
2 Te 0.500 0.500 0.685 [1 per cell]
3 Ir 0.000 0.000 0.438 [1 per cell]
4 Ir 0.500 0.500 0.234 [1 per cell]